This record from the Alexandria database describes a geometry-optimized LaEuBr2 structure. The functional is PBE-GGA.

Computed properties:
The calculation puts the calculated volume at 139 Å³/f.u. Its spin magnetization is 8.28 μB per formula unit. Its uncorrected energy is -5.845 eV/atom. The value obtained for the density of states at the Fermi level is 0.930 states/eV per atom.

Unit cell a=3.9559 b=3.9559 c=30.7307 alpha=90.00 beta=90.00 gamma=120.00
With the nearest neighbours (Å) after each atom.
Atoms (fractional coordinates):
La1 0.0000 0.0000 0.0000  2 Br 3.05
La2 0.3333 0.6667 0.6667  2 Br 3.05
La3 0.6667 0.3333 0.3333  2 Br 3.05
Eu1 0.0000 0.0000 0.5000  6 Br 3.08
Eu2 0.3333 0.6667 0.1667  6 Br 3.08
Eu3 0.6667 0.3333 0.8333  6 Br 3.08
Br1 0.0000 0.0000 0.0993  1 La 3.05, 3 Eu 3.08
Br2 0.0000 0.0000 0.9007  1 La 3.05, 3 Eu 3.08
Br3 0.3333 0.6667 0.5674  1 La 3.05, 3 Eu 3.08
Br4 0.3333 0.6667 0.7660  1 La 3.05, 3 Eu 3.08
Br5 0.6667 0.3333 0.2340  1 La 3.05, 3 Eu 3.08
Br6 0.6667 0.3333 0.4326  1 La 3.05, 3 Eu 3.08

=====

This record from the Alexandria database describes a geometry-optimized LaEu2Br structure. The functional is PBE-GGA.

Computed properties:
The calculation puts the calculated volume at 143 Å³/f.u. Its spin magnetization is 14.53 μB per formula unit. Its uncorrected energy is -7.387 eV/atom. The value obtained for the density of states at the Fermi level is 0.826 states/eV per atom.

Unit cell a=3.7134 b=3.7134 c=10.3432 alpha=90.00 beta=90.00 gamma=90.00
With the nearest neighbours (Å) after each atom.
Atoms (fractional coordinates):
La1 0.0000 0.0000 0.0000  4 La 3.71, 8 Eu 3.93
Eu1 0.5000 0.5000 0.2825  4 Br 3.46, 4 Eu 3.71
Eu2 0.5000 0.5000 0.7175  4 Br 3.46, 4 Eu 3.71
Br1 0.0000 0.0000 0.5000  8 Eu 3.46, 4 Br 3.71

=====

This record from the Alexandria database describes a geometry-optimized LaEuPbBr structure. The functional is PBE-GGA.

Computed properties:
The calculation puts the calculated volume at 125 Å³/f.u. Its spin magnetization is 6.98 μB per formula unit. Its uncorrected energy is -6.050 eV/atom. The value obtained for the density of states at the Fermi level is 3.044 states/eV per atom.

Unit cell a=7.9373 b=7.9373 c=7.9373 alpha=90.00 beta=90.00 gamma=90.00
With the nearest neighbours (Å) after each atom.
Atoms (fractional coordinates):
La1 0.0000 0.0000 0.0000  4 Br 3.44, 4 Pb 3.44
La2 0.0000 0.5000 0.5000  4 Br 3.44, 4 Pb 3.44
La3 0.5000 0.0000 0.5000  4 Br 3.44, 4 Pb 3.44
La4 0.5000 0.5000 0.0000  4 Br 3.44, 4 Pb 3.44
Eu1 0.0000 0.0000 0.5000  4 Pb 3.44, 4 Br 3.44
Eu2 0.0000 0.5000 0.0000  4 Pb 3.44, 4 Br 3.44
Eu3 0.5000 0.0000 0.0000  4 Pb 3.44, 4 Br 3.44
Eu4 0.5000 0.5000 0.5000  4 Pb 3.44, 4 Br 3.44
Pb1 0.2500 0.2500 0.2500  4 La 3.44, 4 Eu 3.44
Pb2 0.2500 0.7500 0.7500  4 La 3.44, 4 Eu 3.44
Pb3 0.7500 0.2500 0.7500  4 La 3.44, 4 Eu 3.44
Pb4 0.7500 0.7500 0.2500  4 La 3.44, 4 Eu 3.44
Br1 0.2500 0.2500 0.7500  4 Eu 3.44, 4 La 3.44
Br2 0.2500 0.7500 0.2500  4 Eu 3.44, 4 La 3.44
Br3 0.7500 0.2500 0.2500  4 Eu 3.44, 4 La 3.44
Br4 0.7500 0.7500 0.7500  4 Eu 3.44, 4 La 3.44

=====

This record from the Alexandria database describes a geometry-optimized LaEuTeBr structure. The functional is PBE-GGA.

Computed properties:
The calculation puts the calculated volume at 117 Å³/f.u. Its spin magnetization is 8.50 μB per formula unit. Its uncorrected energy is -6.364 eV/atom. The value obtained for the density of states at the Fermi level is 0.551 states/eV per atom.

Unit cell a=7.7711 b=7.7711 c=7.7711 alpha=90.00 beta=90.00 gamma=90.00
With the nearest neighbours (Å) after each atom.
Atoms (fractional coordinates):
La1 0.0000 0.0000 0.0000  4 Br 3.36, 4 Te 3.36
La2 0.0000 0.5000 0.5000  4 Br 3.36, 4 Te 3.36
La3 0.5000 0.0000 0.5000  4 Br 3.36, 4 Te 3.36
La4 0.5000 0.5000 0.0000  4 Br 3.36, 4 Te 3.36
Eu1 0.0000 0.0000 0.5000  4 Br 3.36, 4 Te 3.36
Eu2 0.0000 0.5000 0.0000  4 Br 3.36, 4 Te 3.36
Eu3 0.5000 0.0000 0.0000  4 Br 3.36, 4 Te 3.36
Eu4 0.5000 0.5000 0.5000  4 Br 3.36, 4 Te 3.36
Te1 0.2500 0.2500 0.2500  4 La 3.36, 4 Eu 3.36
Te2 0.2500 0.7500 0.7500  4 La 3.36, 4 Eu 3.36
Te3 0.7500 0.2500 0.7500  4 La 3.36, 4 Eu 3.36
Te4 0.7500 0.7500 0.2500  4 La 3.36, 4 Eu 3.36
Br1 0.2500 0.2500 0.7500  4 La 3.36, 4 Eu 3.36
Br2 0.2500 0.7500 0.2500  4 La 3.36, 4 Eu 3.36
Br3 0.7500 0.2500 0.2500  4 La 3.36, 4 Eu 3.36
Br4 0.7500 0.7500 0.7500  4 La 3.36, 4 Eu 3.36

=====

Number 1: raw formation energy -4.8 eV per formula unit. Number 2: raw formation energy -2.4 eV per formula unit. Number 3: raw formation energy -3.6 eV per formula unit. Number 4: raw formation energy -5.4 eV per formula unit.